A geometry-optimized Tb6NdMg structure, computed with PBE.

Cell lengths 8.570, 8.575, 6.375 Å; angles 47.71, 47.69, 66.73 degrees
Fractional coordinates of all 8 atoms:
Tb: 0.953 0.464 0.824
Tb: 0.759 0.047 0.730
Tb: 0.464 0.241 0.247
Tb: 0.241 0.953 0.270
Tb: 0.047 0.536 0.176
Tb: 0.536 0.759 0.753
Nd: 0.500 0.500 0.500
Mg: 0.000 0.000 0.000

Calculated values
ΔH_f (0 K) (eV/atom): 0.13
Space group: R-3, No. 148
Uncorrected energy (eV/atom): -4.143
Total moment (μB per formula unit): 0.000


A geometry-optimized TbNd2Mg structure, computed with PBE.

Cell lengths 3.513, 3.513, 12.693 Å; angles 82.05, 82.05, 60.00 degrees
Fractional coordinates of all 4 atoms:
Nd: 0.089 0.089 0.732
Nd: 0.911 0.911 0.268
Mg: 0.000 0.000 0.000
Tb: 0.500 0.500 0.500

Calculated values
ΔH_f (0 K) (eV/atom): 0.18
Space group: R-3m, No. 166
Uncorrected energy (eV/atom): -3.757
Total moment (μB per formula unit): 0.000